No. 1
Density functional theory data (PBE) for a geometry-optimized Sm6Ho2Tm5 structure.

CIF file:
```
data_Sm6Ho2Tm5
_cell_length_a 11.616
_cell_length_b 20.264
_cell_length_c 3.590
_cell_angle_alpha 90.00
_cell_angle_beta 90.00
_cell_angle_gamma 90.00
_space_group_name_H-M_alt 'P b a m'
_space_group_IT_number 55
loop_
_space_group_symop_operation_xyz
'x,y,z'
'-x,-y,-z'
'-x,-y,z'
'x,y,-z'
'x+1/2,-y+1/2,-z'
'-x+1/2,y+1/2,z'
'-x+1/2,y+1/2,-z'
'x+1/2,-y+1/2,z'
loop_
_atom_site_label
_atom_site_type_symbol
_atom_site_fract_x
_atom_site_fract_y
_atom_site_fract_z
Sm1 Sm 0.060 0.080 0.000
Sm2 Sm 0.084 0.367 0.000
Sm3 Sm 0.171 0.633 0.500
Ho1 Ho 0.164 0.789 0.000
Tm1 Tm 0.000 0.500 0.500
Tm2 Tm 0.095 0.226 0.500
Tm3 Tm 0.198 0.946 0.500
```

Values from the calculation:
The uncorrected energy is -4.50 eV per atom. As for the volume: 32.51 A^3/atom.


No. 2
Density functional theory data (PBE) for a geometry-optimized NbIr2PtPb structure.

CIF file:
```
data_NbIr2PtPb
_cell_length_a 4.826
_cell_length_b 4.826
_cell_length_c 4.998
_cell_angle_alpha 90.00
_cell_angle_beta 90.00
_cell_angle_gamma 90.00
_space_group_name_H-M_alt 'P 4/m m m'
_space_group_IT_number 123
_space_group_name_Hall '-P 4 2'
loop_
_atom_site_label
_atom_site_type_symbol
_atom_site_fract_x
_atom_site_fract_y
_atom_site_fract_z
Nb1 Nb 0.000 0.000 0.000
Ir1 Ir 0.000 0.500 0.500
Pt1 Pt 0.500 0.500 0.500
Pb1 Pb 0.500 0.500 0.000
```

Values from the calculation:
The uncorrected energy is -5.79 eV per atom. As for the volume: 23.28 A^3/atom.


No. 3
Density functional theory data (PBE) for a geometry-optimized Pm5Ho3Er structure.

CIF file:
```
data_Pm5Ho3Er
_cell_length_a 9.256
_cell_length_b 9.256
_cell_length_c 14.237
_cell_angle_alpha 90.00
_cell_angle_beta 90.00
_cell_angle_gamma 90.00
_space_group_name_H-M_alt 'I 4/m c m'
_space_group_IT_number 140
_space_group_name_Hall '-I 4 2c'
loop_
_atom_site_label
_atom_site_type_symbol
_atom_site_fract_x
_atom_site_fract_y
_atom_site_fract_z
Pm1 Pm 0.000 0.000 0.000
Pm2 Pm 0.202 0.298 0.132
Ho1 Ho 0.000 0.000 0.250
Ho2 Ho 0.110 0.390 0.500
Er1 Er 0.000 0.500 0.250
```

Values from the calculation:
The excess energy over the best structure of this formula in the dataset comes out at 92 meV per atom. As for the volume: 33.88 A^3/atom.


No. 4
Density functional theory data (PBE) for a geometry-optimized VCuBr4 structure.

CIF file:
```
data_VCuBr4
_cell_length_a 7.857
_cell_length_b 17.736
_cell_length_c 6.390
_cell_angle_alpha 90.00
_cell_angle_beta 127.54
_cell_angle_gamma 90.00
_space_group_name_H-M_alt 'C 1 2/c 1'
_space_group_IT_number 15
loop_
_space_group_symop_operation_xyz
'x,y,z'
'-x,-y,-z'
'-x,y,-z+1/2'
'x,-y,z+1/2'
'x+1/2,y+1/2,z'
'-x+1/2,-y+1/2,-z'
'-x+1/2,y+1/2,-z+1/2'
'x+1/2,-y+1/2,z+1/2'
loop_
_atom_site_label
_atom_site_type_symbol
_atom_site_fract_x
_atom_site_fract_y
_atom_site_fract_z
V1 V 0.000 0.059 0.250
Cu1 Cu 0.000 0.373 0.750
Br1 Br 0.233 0.164 0.278
Br2 Br 0.234 0.045 0.750
```

Values from the calculation:
The excess energy over the best structure of this formula in the dataset comes out at 0 meV per atom. As for the volume: 29.42 A^3/atom.